# K3IF

A relaxed structure of K3IF (PBE, Alexandria).

Results
* space-group type: No. 221
* spin magnetization: 0.00 μB per formula unit
* E above lowest polymorph: 0 meV per atom
* calculated density: 2.35 Mg/m³
* calculated volume: 186 Å³ per cell
* crystal system: cubic

Lattice parameters (Å, degrees): 5.708 5.708 5.708 90.00 90.00 90.00
Positions (direct):
K1 0.000 0.000 0.500
K2 0.000 0.500 0.000
K3 0.500 0.000 0.000
I1 0.500 0.500 0.500
F1 0.000 0.000 0.000

# K3IF8

A relaxed structure of K3IF8 (PBE, Alexandria).

Results
* space-group type: No. 221
* spin magnetization: 0.00 μB per formula unit
* E above lowest polymorph: 8 meV per atom
* calculated density: 3.17 Mg/m³
* calculated volume: 208 Å³ per cell
* crystal system: cubic

Lattice parameters (Å, degrees): 5.923 5.923 5.923 90.00 90.00 90.00
Positions (direct):
K1 0.000 0.000 0.500
K2 0.000 0.500 0.000
K3 0.500 0.000 0.000
I1 0.500 0.500 0.500
F1 0.290 0.290 0.290
F2 0.290 0.290 0.710
F3 0.290 0.710 0.290
F4 0.290 0.710 0.710
F5 0.710 0.290 0.290
F6 0.710 0.290 0.710
F7 0.710 0.710 0.290
F8 0.710 0.710 0.710